1.
Ba2HgWN after structural relaxation. Source: the Alexandria database, functional PBE.

Cell: 6.407 5.139 6.407 Å, 90.00 90.00 90.00°
Site moments in Bohr magnetons follow the coordinates.
Fractional positions:
Ba: 0.500 0.000 0.000  -0.03
W: 0.000 0.500 0.000  2.48
Hg: 0.000 0.000 0.000  0.03
N: 0.500 0.500 0.500  0.17
Ba: 0.000 0.000 0.500  0.00

Computed properties:
Space group: P4/mmm (123)
Formation energy without anion corrections in eV per atom: 1.77
DOS(E_F) in states/eV/f.u.: 7.24

***

2.
NaMnBiOs after structural relaxation. Source: the Alexandria database, functional PBE.

Cell: 3.165 3.162 17.173 Å, 90.00 90.00 90.00°
Site moments in Bohr magnetons follow the coordinates.
Fractional positions:
Os: 0.500 0.500 0.189  -0.17
Bi: 0.000 0.000 0.828  0.00
Mn: 0.000 0.500 0.623  3.03
Na: 0.500 0.000 0.489  -0.01
Bi: 0.000 0.500 0.328  0.00
Na: 0.500 0.500 0.989  -0.01
Mn: 0.000 0.000 0.123  3.03
Os: 0.500 0.000 0.689  -0.17

Computed properties:
Space group: Amm2 (38)
Formation enthalpy at 0 K in eV per atom: 0.437
DOS(E_F) in states/eV/f.u.: 2.49

***

3.
Rb3YI after structural relaxation. Source: the Alexandria database, functional PBE.

Cell: 7.601 7.601 7.601 Å, 90.00 90.00 90.00°
Site moments in Bohr magnetons follow the coordinates.
Fractional positions:
Y: 0.000 0.000 0.000  0.90
I: 0.500 0.500 0.500  0.02
Rb: 0.500 0.000 0.000  0.04
Rb: 0.000 0.500 0.000  0.04
Rb: 0.000 0.000 0.500  0.03

Computed properties:
Space group: Pm-3m (221)
Formation energy without anion corrections in eV per atom: 0.41
DOS(E_F) in states/eV/f.u.: 19.50

***

4.
SrCoSe after structural relaxation. Source: the Alexandria database, functional PBE.

Cell: 4.993 4.993 4.993 Å, 60.00 60.00 60.00°
Site moments in Bohr magnetons follow the coordinates.
Fractional positions:
Sr: 0.750 0.750 0.750  -0.01
Co: 0.000 0.000 0.000  1.93
Se: 0.500 0.500 0.500  0.06

Computed properties:
Space group: F-43m (216)
Formation energy without anion corrections in eV per atom: 0.17
DOS(E_F) in states/eV/f.u.: 4.81

***

5.
Pm2NdY2Tm after structural relaxation. Source: the Alexandria database, functional PBE.

Cell: 3.575 6.126 18.405 Å, 90.00 90.00 90.00°
Fractional positions:
Tm: 0.500 0.500 0.500
Nd: 0.500 0.500 0.000
Y: 0.000 0.661 0.841
Pm: 0.000 0.662 0.654
Pm: 0.000 0.338 0.346
Nd: 0.000 0.000 0.500
Pm: 0.500 0.838 0.154
Y: 0.000 0.339 0.159
Pm: 0.500 0.162 0.846
Y: 0.500 0.839 0.341
Y: 0.500 0.161 0.659
Tm: 0.000 0.000 0.000

Computed properties:
Space group: Pnnm (58)
Formation enthalpy at 0 K in eV per atom: 0.100
DOS(E_F) in states/eV/f.u.: 8.95

***

6.
SiHgBr2 after structural relaxation. Source: the Alexandria database, functional PBE.

Cell: 3.433 8.141 5.492 Å, 47.41 90.00 90.00°
Fractional positions:
Si: 0.000 0.000 0.500
Br: 0.500 0.500 0.000
Br: 0.000 0.000 0.000
Hg: 0.500 0.500 0.500

Computed properties:
Space group: P2/m (10)
Formation energy without anion corrections in eV per atom: 0.24
DOS(E_F) in states/eV/f.u.: 1.16

***

7.
Sb3TeI7 after structural relaxation. Source: the Alexandria database, functional PBE.

Cell: 8.716 8.717 8.665 Å, 75.83 59.80 60.00°
Fractional positions:
I: 0.351 0.421 0.371
I: 0.281 0.088 0.844
I: 0.368 0.917 0.348
I: 0.283 0.591 0.842
Sb: 0.577 0.748 0.611
Sb: 0.063 0.262 0.613
I: 0.857 0.913 0.373
Sb: 0.064 0.748 0.611
I: 0.787 0.088 0.844
I: 0.857 0.421 0.371
Te: 0.785 0.588 0.842

Computed properties:
Space group: Cm (8)
Formation energy without anion corrections in eV per atom: -0.30

***

8.
KBe2Ru after structural relaxation. Source: the Alexandria database, functional PBE.

Cell: 3.400 3.138 6.974 Å, 85.62 90.00 90.00°
Site moments in Bohr magnetons follow the coordinates.
Fractional positions:
K: 0.000 0.563 0.504  0.02
Be: 0.000 0.156 0.928  -0.01
Ru: 0.500 0.660 0.926  0.11
Be: 0.500 0.120 0.142  0.04

Computed properties:
Space group: Pm (6)
Formation enthalpy at 0 K in eV per atom: 0.415
DOS(E_F) in states/eV/f.u.: 2.00

***

9.
BeCu3Se after structural relaxation. Source: the Alexandria database, functional PBE.

Cell: 4.564 4.564 4.564 Å, 90.00 90.00 90.00°
Fractional positions:
Cu: 0.000 0.000 0.500
Cu: 0.000 0.500 0.000
Se: 0.000 0.000 0.000
Cu: 0.500 0.000 0.000
Be: 0.500 0.500 0.500

Computed properties:
Space group: Pm-3m (221)
Formation energy without anion corrections in eV per atom: 0.89
DOS(E_F) in states/eV/f.u.: 2.71

***

10.
Ca2SmNpSb4 after structural relaxation. Source: the Alexandria database, functional PBE.

Cell: 4.511 7.745 7.745 Å, 109.71 90.00 90.00°
Site moments in Bohr magnetons follow the coordinates.
Fractional positions:
Ca: 0.000 0.500 0.500  -0.04
Sb: 0.500 0.238 0.235  -0.10
Sm: 0.500 0.500 0.000  -0.04
Sb: 0.000 0.245 0.761  -0.07
Ca: 0.500 0.000 0.500  -0.02
Sb: 0.500 0.762 0.765  -0.10
Sb: 0.000 0.755 0.239  -0.07
Np: 0.000 0.000 0.000  3.51

Computed properties:
Space group: P2/m (10)
Formation energy without anion corrections in eV per atom: -0.75
DOS(E_F) in states/eV/f.u.: 9.86

***

11.
SmThRh after structural relaxation. Source: the Alexandria database, functional PBE.

Cell: 7.378 6.266 7.228 Å, 90.00 90.00 90.00°
Fractional positions:
Sm: 0.603 0.893 0.750
Rh: 0.045 0.329 0.250
Sm: 0.897 0.893 0.250
Rh: 0.455 0.329 0.750
Th: 0.750 0.415 0.000
Sm: 0.397 0.107 0.250
Th: 0.250 0.585 0.000
Rh: 0.545 0.671 0.250
Rh: 0.955 0.671 0.750
Sm: 0.103 0.107 0.750
Th: 0.750 0.415 0.500
Th: 0.250 0.585 0.500

Computed properties:
Space group: Pbcm (57)
Formation enthalpy at 0 K in eV per atom: -0.594
DOS(E_F) in states/eV/f.u.: 3.22

***

12.
K3C after structural relaxation. Source: the Alexandria database, functional PBE.

Cell: 7.184 7.885 11.957 Å, 90.00 90.00 90.00°
Site moments in Bohr magnetons follow the coordinates.
Fractional positions:
C: 0.062 0.623 0.250  0.79
K: 0.288 0.854 0.402  0.01
K: 0.788 0.646 0.598  0.01
K: 0.205 0.081 0.750  0.01
K: 0.288 0.854 0.098  0.01
K: 0.788 0.646 0.902  0.01
K: 0.712 0.146 0.902  0.01
C: 0.562 0.877 0.750  0.79
C: 0.438 0.123 0.250  0.79
K: 0.295 0.581 0.750  0.01
K: 0.712 0.146 0.598  0.01
K: 0.212 0.354 0.402  0.01
K: 0.212 0.354 0.098  0.01
C: 0.938 0.377 0.750  0.79
K: 0.795 0.919 0.250  0.01
K: 0.705 0.419 0.250  0.01

Computed properties:
Space group: Pnma (62)
Formation enthalpy at 0 K in eV per atom: 1.071
DOS(E_F) in states/eV/f.u.: 2.59

***

- Which formula does entry 12 have?
  K3C